This record from Alexandria describes a crystal of LiCu2Ru relaxed with PBEsol. The functional is SCAN.

It has space group C2/m (No. 12), with a = 8.7014 Å, b = 2.4300 Å, c = 4.6053 Å, α = 90.00°, β = 97.01° and γ = 90.00°. The distinct sites, in fractional coordinates, are Li at (0.0000, 0.0000, 0.0000), Cu at (0.2460, 0.0000, 0.7493) and Ru at (0.0000, 0.5000, 0.5000).

The energy of formation comes out at 0.18 eV per atom. For the density of states at the Fermi level, the calculation gives 4.9 states/eV/cell. For the excess energy over the best structure of this formula in the dataset, the calculation gives 154 meV/atom. The total energy comes out at -16.720 eV per atom.

---

This record from Alexandria describes a crystal of LiBiP2O relaxed with PBEsol. The functional is SCAN.

It has space group P4/mmm (No. 123), with a = 4.7542 Å, b = 4.7542 Å, c = 3.5044 Å, α = 90.00°, β = 90.00° and γ = 90.00°. The distinct sites, in fractional coordinates, are Li at (0.0000, 0.0000, 0.0000), Bi at (0.5000, 0.5000, 0.5000), P at (0.0000, 0.5000, 0.0000) and O at (0.0000, 0.0000, 0.5000).

For the density of states at the Fermi level, the calculation gives 3.2 states/eV/cell. The formation energy (no corrections) comes out at 2.0 eV per formula unit. The total energy comes out at -21.192 eV per atom.

---

This record from Alexandria describes a crystal of MgZn2Ni relaxed with PBEsol. The functional is SCAN.

It has space group P4/mmm (No. 123), with a = 3.7423 Å, b = 3.7423 Å, c = 3.8722 Å, α = 90.00°, β = 90.00° and γ = 90.00°. The distinct sites, in fractional coordinates, are Mg at (0.0000, 0.0000, 0.0000), Zn at (0.0000, 0.5000, 0.5000) and Ni at (0.5000, 0.5000, 0.0000).

The energy of formation comes out at -0.15 eV per atom. For the density of states at the Fermi level, the calculation gives 1.6 states/eV/cell. The total energy comes out at -12.195 eV per atom.